*a*
Here is a geometry-optimized Cd2Ag3Au4 structure from Alexandria. Energies are from PBE-GGA.

a b c (Å): 5.180 8.327 8.327
angles (deg): 77.26 97.37 97.37
Element x y z (fractional)
Cd1 0.967 0.365 0.181
Cd2 0.533 0.819 0.635
Cd3 0.033 0.635 0.819
Cd4 0.467 0.181 0.365
Ag1 0.971 0.035 0.163
Ag2 0.471 0.163 0.035
Ag3 0.029 0.965 0.837
Ag4 0.250 0.535 0.465
Ag5 0.529 0.837 0.965
Ag6 0.750 0.465 0.535
Au1 0.985 0.291 0.857
Au2 0.998 0.825 0.480
Au3 0.502 0.520 0.175
Au4 0.002 0.175 0.520
Au5 0.498 0.480 0.825
Au6 0.515 0.143 0.709
Au7 0.015 0.709 0.143
Au8 0.485 0.857 0.291

---

*b*
Here is a geometry-optimized Cd2Ag3Au4 structure from Alexandria. Energies are from PBE-GGA.

a b c (Å): 4.166 5.107 9.008
angles (deg): 73.05 90.18 66.33
Element x y z (fractional)
Au1 0.002 0.997 0.333
Au2 0.666 0.668 0.890
Au3 0.334 0.332 0.110
Au4 0.998 0.003 0.667
Cd1 0.669 0.662 0.224
Cd2 0.331 0.338 0.776
Ag1 0.335 0.328 0.447
Ag2 0.000 0.000 0.000
Ag3 0.665 0.672 0.553

---

*b* ends up most stable, edging out the next structure by 70 meV/atom.

---

*a*
Here is a geometry-optimized CdAg3Au6 structure from Alexandria. Energies are from PBE-GGA.

a b c (Å): 5.305 8.870 8.870
angles (deg): 111.95 90.00 90.00
Element x y z (fractional)
Cd1 0.641 0.824 0.176
Cd2 0.141 0.176 0.824
Au1 0.375 0.529 0.970
Au2 0.548 0.302 0.418
Au3 0.136 0.739 0.261
Au4 0.808 0.024 0.976
Au5 0.548 0.582 0.698
Au6 0.308 0.976 0.024
Au7 0.875 0.471 0.030
Au8 0.375 0.030 0.471
Au9 0.875 0.970 0.529
Au10 0.048 0.698 0.582
Au11 0.636 0.261 0.739
Au12 0.048 0.418 0.302
Ag1 0.078 0.382 0.618
Ag2 0.988 0.703 0.892
Ag3 0.488 0.892 0.703
Ag4 0.488 0.297 0.108
Ag5 0.578 0.618 0.382
Ag6 0.988 0.108 0.297

---

*b*
Here is a geometry-optimized CdAg3Au6 structure from Alexandria. Energies are from PBE-GGA.

a b c (Å): 4.053 9.533 9.423
angles (deg): 90.14 90.00 90.00
Element x y z (fractional)
Ag1 0.750 0.450 0.600
Ag2 0.250 0.748 0.003
Ag3 0.750 0.252 0.997
Ag4 0.750 0.650 0.201
Ag5 0.250 0.550 0.400
Ag6 0.250 0.350 0.799
Cd1 0.250 0.945 0.608
Cd2 0.750 0.055 0.392
Au1 0.750 0.749 0.500
Au2 0.750 0.150 0.699
Au3 0.750 0.845 0.805
Au4 0.250 0.051 0.902
Au5 0.250 0.850 0.301
Au6 0.250 0.155 0.195
Au7 0.750 0.549 0.901
Au8 0.750 0.949 0.098
Au9 0.250 0.251 0.500
Au10 0.250 0.451 0.099
Au11 0.250 0.645 0.701
Au12 0.750 0.355 0.299

---

*b* ends up most stable, edging out the next structure by 104 meV/atom.

---

*a*
Here is a geometry-optimized Cd5Ag4Au2 structure from Alexandria. Energies are from PBE-GGA.

a b c (Å): 4.588 6.510 9.988
angles (deg): 128.17 103.28 90.00
Element x y z (fractional)
Au1 0.336 0.888 0.672
Au2 0.664 0.112 0.328
Cd1 0.838 0.623 0.676
Cd2 0.812 0.106 0.623
Cd3 0.162 0.377 0.324
Cd4 0.188 0.894 0.377
Cd5 0.500 0.000 0.000
Ag1 0.017 0.755 0.034
Ag2 0.983 0.245 0.966
Ag3 0.588 0.559 0.175
Ag4 0.412 0.441 0.825

---

*b*
Here is a geometry-optimized Cd5Ag4Au2 structure from Alexandria. Energies are from PBE-GGA.

a b c (Å): 4.160 6.620 15.973
angles (deg): 90.00 90.00 90.00
Element x y z (fractional)
Ag1 0.500 0.297 0.542
Ag2 0.500 0.397 0.877
Ag3 0.500 0.797 0.958
Ag4 0.500 0.603 0.123
Ag5 0.500 0.203 0.042
Ag6 0.500 0.897 0.623
Ag7 0.500 0.103 0.377
Ag8 0.500 0.703 0.458
Cd1 0.000 0.677 0.805
Cd2 0.000 0.906 0.090
Cd3 0.000 0.594 0.590
Cd4 0.000 0.500 0.000
Cd5 0.000 0.094 0.910
Cd6 0.000 0.323 0.195
Cd7 0.000 0.406 0.410
Cd8 0.000 0.823 0.305
Cd9 0.000 0.000 0.500
Cd10 0.000 0.177 0.695
Au1 0.500 0.510 0.295
Au2 0.500 0.990 0.795
Au3 0.500 0.490 0.705
Au4 0.500 0.010 0.205

---

*b* ends up most stable, edging out the next structure by 14 meV/atom.

---

*a*
Here is a geometry-optimized CdAg6Au2 structure from Alexandria. Energies are from PBE-GGA.

a b c (Å): 7.283 7.660 7.283
angles (deg): 65.32 86.65 65.32
Element x y z (fractional)
Au1 0.210 0.420 0.451
Au2 0.790 0.580 0.549
Au3 0.451 0.920 0.210
Au4 0.549 0.080 0.790
Ag1 0.232 0.804 0.990
Ag2 0.647 0.637 0.904
Ag3 0.353 0.363 0.096
Ag4 0.768 0.196 0.010
Ag5 0.904 0.137 0.647
Ag6 0.096 0.863 0.353
Ag7 0.010 0.696 0.768
Ag8 0.680 0.029 0.427
Ag9 0.320 0.971 0.573
Ag10 0.990 0.304 0.232
Ag11 0.427 0.529 0.680
Ag12 0.573 0.471 0.320
Cd1 0.868 0.750 0.132
Cd2 0.132 0.250 0.868

---

*b*
Here is a geometry-optimized CdAg6Au2 structure from Alexandria. Energies are from PBE-GGA.

a b c (Å): 6.414 7.742 7.742
angles (deg): 79.40 80.31 80.31
Element x y z (fractional)
Au1 0.764 0.775 0.537
Au2 0.264 0.537 0.775
Au3 0.736 0.463 0.225
Au4 0.236 0.225 0.463
Ag1 0.075 0.581 0.323
Ag2 0.128 0.892 0.629
Ag3 0.803 0.208 0.005
Ag4 0.372 0.371 0.108
Ag5 0.425 0.677 0.419
Ag6 0.697 0.995 0.792
Ag7 0.303 0.005 0.208
Ag8 0.628 0.629 0.892
Ag9 0.925 0.419 0.677
Ag10 0.197 0.792 0.995
Ag11 0.872 0.108 0.371
Ag12 0.575 0.323 0.581
Cd1 0.750 0.846 0.154
Cd2 0.250 0.154 0.846

---

*a* ends up most stable, edging out the next structure by 150 meV/atom.

---

*a*
Here is a geometry-optimized Cd3Ag5Au3 structure from Alexandria. Energies are from PBE-GGA.

a b c (Å): 4.878 8.352 8.352
angles (deg): 120.00 90.00 90.00
Element x y z (fractional)
Au1 0.500 0.662 0.662
Au2 0.500 0.338 0.000
Au3 0.500 0.000 0.338
Cd1 0.000 0.000 0.504
Cd2 0.000 0.496 0.496
Cd3 0.000 0.504 0.000
Ag1 0.500 0.000 0.689
Ag2 0.500 0.667 0.333
Ag3 0.500 0.311 0.311
Ag4 0.500 0.689 0.000
Ag5 0.500 0.333 0.667

---

*b*
Here is a geometry-optimized Cd3Ag5Au3 structure from Alexandria. Energies are from PBE-GGA.

a b c (Å): 2.892 9.600 9.600
angles (deg): 120.00 90.00 90.00
Element x y z (fractional)
Cd1 0.000 0.584 0.000
Cd2 0.000 0.416 0.416
Cd3 0.000 0.000 0.584
Au1 0.500 0.000 0.832
Au2 0.500 0.832 0.000
Au3 0.500 0.168 0.168
Ag1 0.500 0.336 0.000
Ag2 0.500 0.664 0.664
Ag3 0.500 0.000 0.336
Ag4 0.500 0.333 0.667
Ag5 0.500 0.667 0.333

---

*b* ends up most stable, edging out the next structure by 109 meV/atom.

---

*a*
Here is a geometry-optimized Cd2Ag6Au3 structure from Alexandria. Energies are from PBE-GGA.

a b c (Å): 3.894 3.894 15.099
angles (deg): 97.41 97.41 90.00
Element x y z (fractional)
Au1 0.139 0.139 0.278
Au2 0.000 0.000 0.000
Au3 0.861 0.861 0.722
Cd1 0.672 0.672 0.344
Cd2 0.328 0.328 0.656
Ag1 0.931 0.431 0.863
Ag2 0.069 0.569 0.137
Ag3 0.232 0.232 0.464
Ag4 0.768 0.768 0.536
Ag5 0.569 0.069 0.137
Ag6 0.431 0.931 0.863

---

*b*
Here is a geometry-optimized Cd2Ag6Au3 structure from Alexandria. Energies are from PBE-GGA.

a b c (Å): 5.096 7.666 16.429
angles (deg): 28.39 76.42 97.52
Element x y z (fractional)
Au1 0.918 0.106 0.721
Au2 0.000 0.000 0.000
Au3 0.082 0.894 0.279
Cd1 0.358 0.625 0.093
Cd2 0.642 0.375 0.907
Ag1 0.275 0.728 0.819
Ag2 0.456 0.542 0.365
Ag3 0.544 0.458 0.635
Ag4 0.815 0.178 0.456
Ag5 0.185 0.822 0.544
Ag6 0.725 0.272 0.181

---

*b* ends up most stable, edging out the next structure by 128 meV/atom.

---

*a*
Here is a geometry-optimized Cd3AgAu3 structure from Alexandria. Energies are from PBE-GGA.

a b c (Å): 7.079 7.079 7.736
angles (deg): 100.06 100.06 121.60
Element x y z (fractional)
Au1 0.596 0.596 0.354
Au2 0.404 0.404 0.646
Au3 0.174 0.826 0.000
Au4 0.826 0.174 0.000
Au5 0.886 0.114 0.500
Au6 0.114 0.886 0.500
Cd1 0.605 0.189 0.275
Cd2 0.395 0.811 0.725
Cd3 0.723 0.723 0.054
Cd4 0.277 0.277 0.946
Cd5 0.811 0.395 0.725
Cd6 0.189 0.605 0.275
Ag1 0.161 0.161 0.261
Ag2 0.839 0.839 0.739

---

*b*
Here is a geometry-optimized Cd3AgAu3 structure from Alexandria. Energies are from PBE-GGA.

a b c (Å): 5.910 5.910 8.332
angles (deg): 90.00 90.00 82.58
Element x y z (fractional)
Cd1 0.701 0.299 0.500
Cd2 0.292 0.708 0.000
Cd3 0.224 0.224 0.500
Cd4 0.776 0.776 0.500
Cd5 0.708 0.292 0.000
Cd6 0.299 0.701 0.500
Au1 0.000 0.500 0.248
Au2 0.500 0.000 0.752
Au3 0.000 0.000 0.248
Au4 0.500 0.000 0.248
Au5 0.000 0.500 0.752
Au6 0.000 0.000 0.752
Ag1 0.769 0.769 0.000
Ag2 0.231 0.231 0.000

---

*b* ends up most stable, edging out the next structure by 51 meV/atom.

---

*a*
Here is a geometry-optimized Cd8Ag3Au2 structure from Alexandria. Energies are from PBE-GGA.

a b c (Å): 8.274 8.274 4.596
angles (deg): 90.00 90.00 111.66
Element x y z (fractional)
Cd1 0.380 0.121 0.500
Cd2 0.615 0.385 0.000
Cd3 0.141 0.859 0.000
Cd4 0.121 0.380 0.500
Cd5 0.879 0.620 0.500
Cd6 0.385 0.615 0.000
Cd7 0.859 0.141 0.000
Cd8 0.620 0.879 0.500
Ag1 0.765 0.765 0.000
Ag2 0.235 0.235 0.000
Ag3 0.000 0.000 0.500
Au1 0.258 0.742 0.500
Au2 0.742 0.258 0.500

---

*b*
Here is a geometry-optimized Cd8Ag3Au2 structure from Alexandria. Energies are from PBE-GGA.

a b c (Å): 5.634 8.171 7.406
angles (deg): 123.48 96.45 90.00
Element x y z (fractional)
Cd1 0.424 0.430 0.237
Cd2 0.881 0.593 0.187
Cd3 0.576 0.570 0.763
Cd4 0.182 0.806 0.612
Cd5 0.576 0.193 0.763
Cd6 0.424 0.807 0.237
Cd7 0.818 0.194 0.388
Cd8 0.119 0.407 0.813
Au1 0.690 0.796 0.591
Au2 0.310 0.204 0.409
Ag1 0.000 0.827 0.000
Ag2 0.000 0.173 0.000
Ag3 0.500 0.000 0.000

---

*a* ends up most stable, edging out the next structure by 17 meV/atom.